VASP calculation (GGA-PBE) on a relaxed structure of AcSm3Pd.

Cell: 5.655 5.655 5.655 Å, 90.00 90.00 90.00°
Atoms (fractional coordinates):
Ac 0.000 0.000 0.000
Sm 0.000 0.500 0.500
Sm 0.500 0.000 0.500
Sm 0.500 0.500 0.000
Pd 0.500 0.500 0.500

Summary:
DFT total energy (eV/atom): -4.85
DOS at the Fermi energy (states/eV per cell): 11.6
Formation enthalpy at 0 K (kcal/mol of atoms): -3.7
Spin magnetization (μB per formula unit): 0.0
Energy relative to the lowest polymorph listed for this composition (meV per atom): 94

***

VASP calculation (GGA-PBE) on a relaxed structure of Sc4TeW.

Cell: 5.685 5.685 5.685 Å, 60.00 60.00 60.00°
Atoms (fractional coordinates):
Sc 0.378 0.378 0.378
Sc 0.378 0.378 0.866
Sc 0.378 0.866 0.378
Sc 0.866 0.378 0.378
Te 0.000 0.000 0.000
W 0.750 0.750 0.750

Summary:
DFT total energy (eV/atom): -6.44
ΔE_f (raw) (kJ/mol of atoms): 45
DOS at the Fermi energy (states/eV per cell): 7.7
Spin magnetization (μB per formula unit): 0.0

***

VASP calculation (GGA-PBE) on a relaxed structure of MgTl2H.

Cell: 7.625 7.625 7.625 Å, 137.00 137.00 62.43°
Atoms (fractional coordinates):
Mg 0.000 0.000 0.000
Mg 0.750 0.250 0.500
Tl 0.233 0.625 0.108
Tl 0.375 0.483 0.608
Tl 0.517 0.125 0.892
Tl 0.875 0.767 0.392
H 0.250 0.750 0.500
H 0.500 0.500 0.000

Summary:
DFT total energy (eV/atom): -2.07
DOS at the Fermi energy (states/eV per cell): 1.4
Spin magnetization (μB per formula unit): 0.0
Energy relative to the lowest polymorph listed for this composition (meV per atom): 0

***

VASP calculation (GGA-PBE) on a relaxed structure of Pr3YEr3.

Cell: 9.673 9.673 5.792 Å, 90.00 90.00 120.00°
Atoms (fractional coordinates):
Pr 0.047 0.804 0.250
Pr 0.196 0.244 0.250
Pr 0.244 0.047 0.750
Pr 0.756 0.953 0.250
Pr 0.804 0.756 0.750
Pr 0.953 0.196 0.750
Y 0.333 0.667 0.250
Y 0.667 0.333 0.750
Er 0.095 0.615 0.750
Er 0.385 0.480 0.750
Er 0.480 0.095 0.250
Er 0.520 0.905 0.750
Er 0.615 0.520 0.250
Er 0.905 0.385 0.250

Summary:
DFT total energy (eV/atom): -4.90
DOS at the Fermi energy (states/eV per cell): 23.9
Formation enthalpy at 0 K (kcal/mol of atoms): 0.5
Spin magnetization (μB per formula unit): 0.0
Energy relative to the lowest polymorph listed for this composition (meV per atom): 0

***

VASP calculation (GGA-PBE) on a relaxed structure of Y6AsS5.

Cell: 6.847 6.847 6.860 Å, 99.52 99.52 120.07°
Atoms (fractional coordinates):
Y 0.080 0.414 0.246
Y 0.248 0.248 0.753
Y 0.414 0.080 0.246
Y 0.586 0.920 0.754
Y 0.752 0.752 0.247
Y 0.920 0.586 0.754
As 0.500 0.500 0.500
S 0.000 0.000 0.000
S 0.167 0.833 0.500
S 0.335 0.665 0.000
S 0.665 0.335 0.000
S 0.833 0.167 0.500

Summary:
DFT total energy (eV/atom): -7.27
ΔE_f (raw) (kJ/mol of atoms): -187
DOS at the Fermi energy (states/eV per cell): 5.8
Spin magnetization (μB per formula unit): 0.0

***

VASP calculation (GGA-PBE) on a relaxed structure of BaSb2O4.

Cell: 7.353 7.353 7.353 Å, 126.78 126.78 78.61°
Atoms (fractional coordinates):
Ba 0.375 0.125 0.250
Ba 0.625 0.875 0.750
Sb 0.000 0.000 0.500
Sb 0.000 0.500 0.000
Sb 0.000 0.500 0.500
Sb 0.500 0.500 0.000
O 0.015 0.323 0.154
O 0.177 0.831 0.691
O 0.331 0.139 0.654
O 0.361 0.515 0.191
O 0.639 0.485 0.809
O 0.669 0.861 0.346
O 0.823 0.169 0.309
O 0.985 0.677 0.846

Summary:
DFT total energy (eV/atom): -5.83
ΔE_f (raw) (kJ/mol of atoms): -149
DOS at the Fermi energy (states/eV per cell): 2.9
Spin magnetization (μB per formula unit): 0.0
Energy relative to the lowest polymorph listed for this composition (meV per atom): 208

***

VASP calculation (GGA-PBE) on a relaxed structure of KMgIn2.

Cell: 3.358 4.910 7.663 Å, 90.00 101.98 90.00°
Atoms (fractional coordinates):
K 0.000 0.000 0.000
Mg 0.700 0.500 0.362
In 0.260 0.000 0.481
In 0.372 0.500 0.732

Summary:
DFT total energy (eV/atom): -2.06
DOS at the Fermi energy (states/eV per cell): 1.7
Formation enthalpy at 0 K (kcal/mol of atoms): -0.5
Spin magnetization (μB per formula unit): 0.0

***

VASP calculation (GGA-PBE) on a relaxed structure of Sm11Y9Er4.

Cell: 15.357 15.357 3.653 Å, 90.00 90.00 113.17°
Atoms (fractional coordinates):
Sm 0.000 0.000 0.000
Sm 0.044 0.406 0.000
Sm 0.160 0.840 0.000
Sm 0.293 0.293 0.000
Sm 0.369 0.631 0.000
Sm 0.406 0.044 0.000
Sm 0.594 0.956 0.000
Sm 0.631 0.369 0.000
Sm 0.707 0.707 0.000
Sm 0.840 0.160 0.000
Sm 0.956 0.594 0.000
Y 0.068 0.214 0.500
Y 0.165 0.630 0.500
Y 0.214 0.068 0.500
Y 0.370 0.835 0.500
Y 0.500 0.500 0.500
Y 0.630 0.165 0.500
Y 0.786 0.932 0.500
Y 0.835 0.370 0.500
Y 0.932 0.786 0.500
Er 0.242 0.445 0.500
Er 0.445 0.242 0.500
Er 0.555 0.758 0.500
Er 0.758 0.555 0.500

Summary:
DFT total energy (eV/atom): -5.30
DOS at the Fermi energy (states/eV per cell): 32.0
Formation enthalpy at 0 K (kcal/mol of atoms): 1.1
Spin magnetization (μB per formula unit): 0.0

***

The evaluated calculated density for the records listed, in turn: 7205 6277 7077 7171 4861 5984 3937 6548 kg/m³.